VASP calculation (GGA+U) on a relaxed CaPuCo2O8 crystal.

Output
total magnetic moment = 4.00 μB/f.u.
N(E_F) = 1.571 states/eV per cell
raw total energy = -0.260 hartree per atom

a = 5.899 Å, b = 5.899 Å, c = 5.899 Å
α = 108.31°, β = 108.31°, γ = 111.82°
Each line ends with the local moment (μB).
Atoms (fractional coordinates):
Ca1 0.250 0.750 0.500  0.00
Pu1 0.000 0.000 0.000  -1.36
Co1 0.750 0.250 0.500  2.69
Co2 0.500 0.500 0.000  1.27
O1 0.343 0.057 0.286  0.11
O2 0.318 0.490 0.172  0.17
O3 0.318 0.145 0.828  0.17
O4 0.770 0.057 0.714  0.11
O5 0.855 0.682 0.172  0.17
O6 0.943 0.230 0.286  0.11
O7 0.943 0.657 0.714  0.11
O8 0.510 0.682 0.828  0.17